Version P
Compound: MgReTe2I
Source: Alexandria
Functional: PBE-GGA
Structure: optimized geometry

As for the spin magnetization: 0.0 μB/cell. The volume comes out at 156.7 Å³ per cell.

The space group is P4/mmm (No. 123) and the conventional cell measures 5.1897, 5.1897 and 5.8165 Å, with angles of 90.00, 90.00 and 90.00 degrees. The inequivalent atoms are Mg at (0.0000, 0.0000, 0.0000), Re at (0.5000, 0.5000, 0.5000), Te at (0.0000, 0.5000, 0.5000) and I at (0.5000, 0.5000, 0.0000).

***

Version Q
Compound: MgReTe2I
Source: Alexandria
Functional: PBE-GGA
Structure: optimized geometry

As for the spin magnetization: 4.4 μB/cell. The volume comes out at 166.4 Å³ per cell.

The space group is P4/mmm (No. 123) and the conventional cell measures 5.5367, 5.5367 and 5.4267 Å, with angles of 90.00, 90.00 and 90.00 degrees. The inequivalent atoms are Mg at (0.0000, 0.0000, 0.0000), Re at (0.5000, 0.5000, 0.5000), Te at (0.0000, 0.5000, 0.0000) and I at (0.0000, 0.0000, 0.5000).

***

Result of the stability comparison: version Q is the least stable of them.

***

Version P
Compound: MgReTeI2
Source: Alexandria
Functional: PBE-GGA
Structure: optimized geometry

As for the spin magnetization: 5.0 μB/cell. The volume comes out at 177.0 Å³ per cell.

The space group is P4/mmm (No. 123) and the conventional cell measures 5.5007, 5.5007 and 5.8485 Å, with angles of 90.00, 90.00 and 90.00 degrees. The inequivalent atoms are Mg at (0.0000, 0.0000, 0.0000), Re at (0.5000, 0.5000, 0.5000), Te at (0.0000, 0.0000, 0.5000) and I at (0.0000, 0.5000, 0.0000).

***

Version Q
Compound: MgReTeI2
Source: Alexandria
Functional: PBE-GGA
Structure: optimized geometry

As for the spin magnetization: 0.7 μB/cell. The volume comes out at 163.0 Å³ per cell.

The space group is P4/mmm (No. 123) and the conventional cell measures 5.6481, 5.6481 and 5.1081 Å, with angles of 90.00, 90.00 and 90.00 degrees. The inequivalent atoms are Mg at (0.0000, 0.0000, 0.0000), Re at (0.5000, 0.5000, 0.5000), Te at (0.5000, 0.5000, 0.0000) and I at (0.0000, 0.5000, 0.5000).

***

Result of the stability comparison: version P is the least stable of them.